Density functional theory data (PBE) for crystalline LiBeCr2 at its relaxed geometry.

a b c (Å): 2.4581 2.4581 26.2896
angles (deg): 90.00 90.00 120.00
Closest atoms and distances in Å follow each position.
Space group R-3m (No. 166, hexagonal axes)
Unique sites:
Li 0.0000 0.0000 0.0000 [3 per cell]  6 Li 2.46
Be 0.0000 0.0000 0.5000 [3 per cell]  6 Cr 2.46, 6 Be 2.46
Cr 0.0000 0.0000 0.2430 [6 per cell]  3 Be 2.46, 6 Cr 2.46

Properties
The total energy comes out at -5.81 eV per atom. The formation energy from the elements comes out at 0.41 eV/atom.

***

Density functional theory data (PBE) for crystalline LiBeCr2 at its relaxed geometry.

a b c (Å): 2.2862 3.8471 5.1050
angles (deg): 90.00 90.00 90.00
Closest atoms and distances in Å follow each position.
Space group Pmm2 (No. 25)
Unique sites:
Li 0.0000 0.0000 0.0000 [1 per cell]  2 Li 2.29, 1 Cr 2.47, 4 Be 2.53
Be 0.5000 0.5000 0.2323 [1 per cell]  2 Be 2.29, 1 Cr 2.43, 4 Li 2.53
Cr 0.0000 0.0000 0.4835 [1 per cell]  6 Cr 2.29-2.52, 1 Li 2.47
Cr 0.5000 0.5000 0.7089 [1 per cell]  6 Cr 2.29-2.52, 1 Be 2.43

Properties
The total energy comes out at -5.87 eV per atom. The formation energy from the elements comes out at 0.36 eV/atom.

***

Density functional theory data (PBE) for crystalline LiBeCr2 at its relaxed geometry.

a b c (Å): 4.6048 8.0273 2.3267
angles (deg): 90.00 90.00 90.00
Closest atoms and distances in Å follow each position.
Space group Cmmm (No. 65)
Unique sites:
Li 0.0000 0.0000 0.0000 [2 per cell]  2 Be 2.30, 2 Li 2.33
Be 0.0000 0.5000 0.0000 [2 per cell]  2 Li 2.30, 2 Be 2.33
Cr 0.2500 0.2500 0.5000 [4 per cell]  4 Cr 2.30-2.33

Properties
The total energy comes out at -5.88 eV per atom. The formation energy from the elements comes out at 0.34 eV/atom.

***

Density functional theory data (PBE) for crystalline LiBeCr2 at its relaxed geometry.

a b c (Å): 2.3095 3.9459 4.8827
angles (deg): 90.00 97.42 90.00
Closest atoms and distances in Å follow each position.
Space group Pm (No. 6)
Unique sites:
Li 0.0000 0.0000 0.0000 [1 per cell]  2 Li 2.31, 2 Be 2.38, 3 Cr 2.51-2.52
Be 0.7896 0.5000 0.2432 [1 per cell]  2 Be 2.31, 2 Li 2.38, 3 Cr 2.41-2.50
Cr 0.2485 0.5000 0.7160 [1 per cell]  4 Cr 2.31-2.33, 1 Be 2.41, 2 Li 2.52
Cr 0.4575 0.0000 0.4958 [1 per cell]  4 Cr 2.31-2.33, 2 Be 2.50, 1 Li 2.51

Properties
The total energy comes out at -5.94 eV per atom. The formation energy from the elements comes out at 0.29 eV/atom.

***

Density functional theory data (PBE) for crystalline Li3BeCr at its relaxed geometry.

a b c (Å): 4.1431 4.1431 4.1431
angles (deg): 90.00 90.00 90.00
Closest atoms and distances in Å follow each position.
Space group Pm-3m (No. 221)
Unique sites:
Li 0.0000 0.0000 0.5000 [3 per cell]  2 Be 2.07
Be 0.0000 0.0000 0.0000 [1 per cell]  6 Li 2.07
Cr 0.5000 0.5000 0.5000 [1 per cell]  12 Li 2.93

Properties
The total energy comes out at -2.63 eV per atom. The energy above the most stable polymorph in this dataset comes out at 9 meV per atom. The formation energy from the elements comes out at 1.19 eV/atom.

***

Density functional theory data (PBE) for crystalline LiBeCr2 at its relaxed geometry.

a b c (Å): 2.8625 3.7829 8.3433
angles (deg): 90.00 90.00 90.00
Closest atoms and distances in Å follow each position.
Space group Cmm2 (No. 35)
Unique sites:
Li 0.0000 0.0000 0.0000 [2 per cell]  4 Li 2.37, 2 Be 2.54
Be 0.0000 0.5000 0.2516 [2 per cell]  2 Cr 2.35, 4 Be 2.37, 2 Li 2.54
Cr 0.0000 0.0000 0.4751 [2 per cell]  2 Be 2.35, 6 Cr 2.37-2.52
Cr 0.0000 0.5000 0.7242 [2 per cell]  6 Cr 2.37-2.52

Properties
The total energy comes out at -6.01 eV per atom. The formation energy from the elements comes out at 0.21 eV/atom.

***

Density functional theory data (PBE) for crystalline LiBeCr2 at its relaxed geometry.

a b c (Å): 2.8910 2.8910 5.9296
angles (deg): 90.00 90.00 90.00
Closest atoms and distances in Å follow each position.
Space group P4mm (No. 99)
Unique sites:
Li 0.0000 0.0000 0.0000 [1 per cell]  4 Be 2.55, 5 Cr 2.81-2.82
Be 0.5000 0.5000 0.2564 [1 per cell]  5 Cr 2.42-2.47, 4 Li 2.55
Cr 0.0000 0.0000 0.4743 [1 per cell]  4 Cr 2.36, 4 Be 2.42
Cr 0.5000 0.5000 0.6733 [1 per cell]  4 Cr 2.36, 1 Be 2.47

Properties
The total energy comes out at -5.91 eV per atom. The formation energy from the elements comes out at 0.31 eV/atom.

***

Density functional theory data (PBE) for crystalline LiBeCr2 at its relaxed geometry.

a b c (Å): 9.1595 2.2923 4.4412
angles (deg): 90.00 103.40 90.00
Closest atoms and distances in Å follow each position.
Space group C2/m (No. 12)
Unique sites:
Li 0.0000 0.0000 0.0000 [2 per cell]  2 Li 2.29, 4 Be 2.50
Be 0.0000 0.5000 0.5000 [2 per cell]  2 Be 2.29, 4 Cr 2.40, 4 Li 2.50
Cr 0.2281 0.0000 0.7345 [4 per cell]  4 Cr 2.29-2.49, 2 Be 2.40

Properties
The total energy comes out at -5.87 eV per atom. The formation energy from the elements comes out at 0.35 eV/atom.